DFT (PBE-GGA) results for a geometry-optimized LiZnRuAu2 structure.

Geometry as CIF:
```
data_LiZnRuAu2
_chemical_formula_sum 'Li1 Zn1 Ru1 Au2'
_symmetry_space_group_name_H-M 'P 4/m m m'
_symmetry_Int_Tables_number 123
_symmetry_space_group_name_Hall '-P 4 2'
_cell_length_a 5.0705
_cell_length_b 5.0705
_cell_length_c 4.7998
_cell_angle_alpha 90.00
_cell_angle_beta 90.00
_cell_angle_gamma 90.00
loop_
_atom_site_label
_atom_site_type_symbol
_atom_site_fract_x
_atom_site_fract_y
_atom_site_fract_z
Li1 Li 0.0000 0.0000 0.0000
Zn1 Zn 0.5000 0.5000 0.0000
Ru1 Ru 0.5000 0.5000 0.5000
Au1 Au 0.0000 0.5000 0.5000
```

Results
- theoretical density (g/cm³) = 7.63
- density of states at the Fermi level (states/eV/f.u.) = 3.0
- ΔE_f (kJ/mol of formula units) = 258


DFT (PBE-GGA) results for a geometry-optimized Y5InSb2 structure.

Geometry as CIF:
```
data_Y5InSb2
_chemical_formula_sum 'Y10 In2 Sb4'
_symmetry_space_group_name_H-M 'I 4/m m m'
_symmetry_Int_Tables_number 139
_symmetry_space_group_name_Hall '-I 4 2'
_cell_length_a 7.0522
_cell_length_b 7.0522
_cell_length_c 8.8023
_cell_angle_alpha 90.00
_cell_angle_beta 90.00
_cell_angle_gamma 90.00
loop_
_atom_site_label
_atom_site_type_symbol
_atom_site_fract_x
_atom_site_fract_y
_atom_site_fract_z
Y1 Y 0.0000 0.0000 0.0000
Y2 Y 0.2500 0.2500 0.2500
In1 In 0.0000 0.0000 0.5000
Sb1 Sb 0.0000 0.5000 0.0000
```

Results
- theoretical density (g/cm³) = 6.09
- density of states at the Fermi level (states/eV/f.u.) = 10.7
- formation energy from raw total energies (meV per atom) = -526


DFT (PBE-GGA) results for a geometry-optimized TiNbCu structure.

Geometry as CIF:
```
data_TiNbCu
_chemical_formula_sum 'Ti2 Nb2 Cu2'
_symmetry_space_group_name_H-M 'P -1'
_symmetry_Int_Tables_number 2
_cell_length_a 2.7514
_cell_length_b 4.5188
_cell_length_c 7.6146
_cell_angle_alpha 89.88
_cell_angle_beta 86.76
_cell_angle_gamma 89.99
loop_
_symmetry_equiv_pos_as_xyz
'x,y,z'
'-x,-y,-z'
loop_
_atom_site_label
_atom_site_type_symbol
_atom_site_fract_x
_atom_site_fract_y
_atom_site_fract_z
Ti1 Ti 0.2031 0.2496 0.4351
Nb1 Nb 0.4888 0.7500 0.2172
Cu1 Cu 0.0439 0.7496 0.9026
```

Results
- theoretical density (g/cm³) = 7.18
- density of states at the Fermi level (states/eV/f.u.) = 3.0
- ΔE_f (kJ/mol of formula units) = 3
- excess energy over the best structure of this formula in the dataset (eV per atom) = 0.105


DFT (PBE-GGA) results for a geometry-optimized Pr3Th5As8 structure.

Geometry as CIF:
```
data_Pr3Th5As8
_chemical_formula_sum 'Pr9 Th15 As24'
_symmetry_space_group_name_H-M 'R -3 m'
_symmetry_Int_Tables_number 166
_symmetry_space_group_name_Hall '-R 3 2"'
_cell_length_a 8.5449
_cell_length_b 8.5449
_cell_length_c 20.9193
_cell_angle_alpha 90.00
_cell_angle_beta 90.00
_cell_angle_gamma 120.00
loop_
_atom_site_label
_atom_site_type_symbol
_atom_site_fract_x
_atom_site_fract_y
_atom_site_fract_z
Pr1 Pr 0.0000 0.5000 0.0000
Th1 Th 0.0000 0.0000 0.0000
Th2 Th 0.0000 0.0000 0.5000
Th3 Th 0.0000 0.5000 0.5000
As1 As 0.0000 0.0000 0.2480
As2 As 0.0023 0.5011 0.7511
```

Results
- theoretical density (g/cm³) = 8.22
- density of states at the Fermi level (states/eV/f.u.) = 7.9
- ΔE_f (kJ/mol of formula units) = -2241


DFT (PBE-GGA) results for a geometry-optimized Y3Hg2Ru structure.

Geometry as CIF:
```
data_Y3Hg2Ru
_chemical_formula_sum 'Y6 Hg4 Ru2'
_symmetry_space_group_name_H-M 'P 1 2/m 1'
_symmetry_Int_Tables_number 10
_cell_length_a 5.0929
_cell_length_b 7.4021
_cell_length_c 7.9943
_cell_angle_alpha 90.00
_cell_angle_beta 108.53
_cell_angle_gamma 90.00
loop_
_symmetry_equiv_pos_as_xyz
'x,y,z'
'-x,-y,-z'
'-x,y,-z'
'x,-y,z'
loop_
_atom_site_label
_atom_site_type_symbol
_atom_site_fract_x
_atom_site_fract_y
_atom_site_fract_z
Y1 Y 0.0000 0.2345 0.0000
Y2 Y 0.3262 0.2264 0.6529
Hg1 Hg 0.1663 0.5000 0.3309
Hg2 Hg 0.5000 0.0000 0.0000
Hg3 Hg 0.5000 0.5000 0.0000
Ru1 Ru 0.1656 0.0000 0.3316
```

Results
- theoretical density (g/cm³) = 8.94
- density of states at the Fermi level (states/eV/f.u.) = 3.9
- ΔE_f (kJ/mol of formula units) = -268


DFT (PBE-GGA) results for a geometry-optimized PmSm2O structure.

Geometry as CIF:
```
data_PmSm2O
_chemical_formula_sum 'Pm1 Sm2 O1'
_symmetry_space_group_name_H-M 'P 4/m m m'
_symmetry_Int_Tables_number 123
_symmetry_space_group_name_Hall '-P 4 2'
_cell_length_a 3.2296
_cell_length_b 3.2296
_cell_length_c 9.1382
_cell_angle_alpha 90.00
_cell_angle_beta 90.00
_cell_angle_gamma 90.00
loop_
_atom_site_label
_atom_site_type_symbol
_atom_site_fract_x
_atom_site_fract_y
_atom_site_fract_z
Pm1 Pm 0.0000 0.0000 0.0000
Sm1 Sm 0.5000 0.5000 0.3300
O1 O 0.0000 0.0000 0.5000
```

Results
- theoretical density (g/cm³) = 8.04
- density of states at the Fermi level (states/eV/f.u.) = 4.9
- formation energy from raw total energies (meV per atom) = -806
- excess energy over the best structure of this formula in the dataset (eV per atom) = 0.359


DFT (PBE-GGA) results for a geometry-optimized TlS2BrN structure.

Geometry as CIF:
```
data_TlS2BrN
_chemical_formula_sum 'Tl1 S2 Br1 N1'
_symmetry_space_group_name_H-M 'P 4/m m m'
_symmetry_Int_Tables_number 123
_symmetry_space_group_name_Hall '-P 4 2'
_cell_length_a 5.4002
_cell_length_b 5.4002
_cell_length_c 4.5398
_cell_angle_alpha 90.00
_cell_angle_beta 90.00
_cell_angle_gamma 90.00
loop_
_atom_site_label
_atom_site_type_symbol
_atom_site_fract_x
_atom_site_fract_y
_atom_site_fract_z
Tl1 Tl 0.0000 0.0000 0.0000
S1 S 0.0000 0.5000 0.0000
Br1 Br 0.5000 0.5000 0.5000
N1 N 0.0000 0.0000 0.5000
```

Results
- theoretical density (g/cm³) = 4.55
- density of states at the Fermi level (states/eV/f.u.) = 3.0
- formation energy from raw total energies (meV per atom) = 1437
- excess energy over the best structure of this formula in the dataset (eV per atom) = 0.140


DFT (PBE-GGA) results for a geometry-optimized RbReSb2Br structure.

Geometry as CIF:
```
data_RbReSb2Br
_chemical_formula_sum 'Rb1 Re1 Sb2 Br1'
_symmetry_space_group_name_H-M 'P 4/m m m'
_symmetry_Int_Tables_number 123
_symmetry_space_group_name_Hall '-P 4 2'
_cell_length_a 5.1253
_cell_length_b 5.1253
_cell_length_c 6.1430
_cell_angle_alpha 90.00
_cell_angle_beta 90.00
_cell_angle_gamma 90.00
loop_
_atom_site_label
_atom_site_type_symbol
_atom_site_fract_x
_atom_site_fract_y
_atom_site_fract_z
Rb1 Rb 0.0000 0.0000 0.0000
Re1 Re 0.5000 0.5000 0.5000
Sb1 Sb 0.0000 0.5000 0.5000
Br1 Br 0.5000 0.5000 0.0000
```

Results
- theoretical density (g/cm³) = 6.12
- density of states at the Fermi level (states/eV/f.u.) = 3.5
- formation energy from raw total energies (meV per atom) = 94


DFT (PBE-GGA) results for a geometry-optimized TiTe4Pt structure.

Geometry as CIF:
```
data_TiTe4Pt
_chemical_formula_sum 'Ti1 Te4 Pt1'
_symmetry_space_group_name_H-M 'P 1 2/m 1'
_symmetry_Int_Tables_number 10
_cell_length_a 6.3161
_cell_length_b 3.9571
_cell_length_c 6.7304
_cell_angle_alpha 90.00
_cell_angle_beta 90.61
_cell_angle_gamma 90.00
loop_
_symmetry_equiv_pos_as_xyz
'x,y,z'
'-x,-y,-z'
'-x,y,-z'
'x,-y,z'
loop_
_atom_site_label
_atom_site_type_symbol
_atom_site_fract_x
_atom_site_fract_y
_atom_site_fract_z
Ti1 Ti 0.0000 0.0000 0.0000
Te1 Te 0.2419 0.0000 0.6614
Te2 Te 0.2577 0.5000 0.1704
Pt1 Pt 0.0000 0.5000 0.5000
```

Results
- theoretical density (g/cm³) = 7.44
- density of states at the Fermi level (states/eV/f.u.) = 3.3
- formation energy from raw total energies (meV per atom) = -452
- excess energy over the best structure of this formula in the dataset (eV per atom) = 0.000


DFT (PBE-GGA) results for a geometry-optimized AlSiSn3 structure.

Geometry as CIF:
```
data_AlSiSn3
_chemical_formula_sum 'Al1 Si1 Sn3'
_symmetry_space_group_name_H-M 'P m -3 m'
_symmetry_Int_Tables_number 221
_symmetry_space_group_name_Hall '-P 4 2 3'
_cell_length_a 5.2065
_cell_length_b 5.2065
_cell_length_c 5.2065
_cell_angle_alpha 90.00
_cell_angle_beta 90.00
_cell_angle_gamma 90.00
loop_
_atom_site_label
_atom_site_type_symbol
_atom_site_fract_x
_atom_site_fract_y
_atom_site_fract_z
Al1 Al 0.0000 0.0000 0.0000
Si1 Si 0.5000 0.5000 0.5000
Sn1 Sn 0.0000 0.5000 0.5000
```

Results
- theoretical density (g/cm³) = 4.84
- density of states at the Fermi level (states/eV/f.u.) = 3.7
- formation energy from raw total energies (meV per atom) = 610
- excess energy over the best structure of this formula in the dataset (eV per atom) = 0.000